No. 1
# Ga2CoNi7Ge2, relaxed, DFT PBE
# Crystal system: monoclinic
# ΔE_f (eV/atom): -0.031
data_Ga2CoNi7Ge2
_chemical_formula_sum 'Ga4 Co2 Ni14 Ge4'
_cell_length_a 4.8164
_cell_length_b 4.8174
_cell_length_c 13.9583
_cell_angle_alpha 90.00
_cell_angle_beta 99.75
_cell_angle_gamma 90.00
_symmetry_space_group_name_H-M 'C 1 2/m 1'
_symmetry_Int_Tables_number 12
_symmetry_space_group_name_Hall '-C 2y'
loop_
_atom_site_label
_atom_site_type_symbol
_atom_site_fract_x
_atom_site_fract_y
_atom_site_fract_z
Ga1 Ga 0.1295 0.0000 0.2625
Co1 Co 0.0000 0.5000 0.0000
Ni1 Ni 0.0000 0.0000 0.0000
Ni2 Ni 0.1861 0.2499 0.8684
Ni3 Ni 0.2209 0.0000 0.4435
Ge1 Ge 0.1919 0.5000 0.3842



No. 2
# NpGa2Co2Ge, relaxed, DFT PBE
# Crystal system: tetragonal
# ΔE_f (eV/atom): 0.055
data_NpGa2Co2Ge
_chemical_formula_sum 'Np1 Ga2 Co2 Ge1'
_cell_length_a 4.3286
_cell_length_b 4.3286
_cell_length_c 5.6031
_cell_angle_alpha 90.00
_cell_angle_beta 90.00
_cell_angle_gamma 90.00
_symmetry_space_group_name_H-M 'P 4/m m m'
_symmetry_Int_Tables_number 123
_symmetry_space_group_name_Hall '-P 4 2'
loop_
_atom_site_label
_atom_site_type_symbol
_atom_site_fract_x
_atom_site_fract_y
_atom_site_fract_z
Np1 Np 0.0000 0.0000 0.0000
Ga1 Ga 0.5000 0.5000 0.2384
Co1 Co 0.0000 0.5000 0.5000
Ge1 Ge 0.0000 0.0000 0.5000



No. 3
# Np2GaCo3Ge4, relaxed, DFT PBE
# Crystal system: tetragonal
# ΔE_f (eV/atom): -0.234
data_Np2GaCo3Ge4
_chemical_formula_sum 'Np2 Ga1 Co3 Ge4'
_cell_length_a 4.0497
_cell_length_b 4.0497
_cell_length_c 10.0389
_cell_angle_alpha 90.00
_cell_angle_beta 90.00
_cell_angle_gamma 90.00
_symmetry_space_group_name_H-M 'P -4 m 2'
_symmetry_Int_Tables_number 115
_symmetry_space_group_name_Hall 'P -4 -2'
loop_
_atom_site_label
_atom_site_type_symbol
_atom_site_fract_x
_atom_site_fract_y
_atom_site_fract_z
Np1 Np 0.0000 0.5000 0.2393
Ga1 Ga 0.0000 0.0000 0.5000
Co1 Co 0.0000 0.5000 0.8769
Co2 Co 0.5000 0.5000 0.5000
Ge1 Ge 0.0000 0.0000 0.0000
Ge2 Ge 0.0000 0.5000 0.6485
Ge3 Ge 0.5000 0.5000 0.0000



No. 4
# Np2GaCo4Ge3, relaxed, DFT PBE
# Crystal system: tetragonal
# ΔE_f (eV/atom): -0.262
data_Np2GaCo4Ge3
_chemical_formula_sum 'Np2 Ga1 Co4 Ge3'
_cell_length_a 3.9448
_cell_length_b 3.9448
_cell_length_c 10.1101
_cell_angle_alpha 90.00
_cell_angle_beta 90.00
_cell_angle_gamma 90.00
_symmetry_space_group_name_H-M 'P -4 m 2'
_symmetry_Int_Tables_number 115
_symmetry_space_group_name_Hall 'P -4 -2'
loop_
_atom_site_label
_atom_site_type_symbol
_atom_site_fract_x
_atom_site_fract_y
_atom_site_fract_z
Np1 Np 0.0000 0.5000 0.2453
Ga1 Ga 0.5000 0.5000 0.0000
Co1 Co 0.0000 0.0000 0.5000
Co2 Co 0.0000 0.5000 0.8577
Co3 Co 0.5000 0.5000 0.5000
Ge1 Ge 0.0000 0.0000 0.0000
Ge2 Ge 0.0000 0.5000 0.6267



Number 1: D(E_F) 17.0 states/eV/cell, final energy -5.27 eV per atom. Number 2: D(E_F) 12.1 states/eV/cell, final energy -6.25 eV per atom. Number 3: D(E_F) 22.6 states/eV/cell, final energy -7.10 eV per atom. Number 4: D(E_F) 24.4 states/eV/cell, final energy -7.38 eV per atom.